*i*
An optimized crystal structure of CoNiI2O, computed with GGA+U.

Structure (CIF):
```
data_CoNiI2O
_space_group_name_H-M_alt 'P 4/m m m'
_space_group_IT_number 123
_space_group_name_Hall '-P 4 2'
_cell_length_a 5.5414
_cell_length_b 5.5414
_cell_length_c 3.5416
_cell_angle_alpha 90.00
_cell_angle_beta 90.00
_cell_angle_gamma 90.00
loop_
_atom_site_label
_atom_site_type_symbol
_atom_site_fract_x
_atom_site_fract_y
_atom_site_fract_z
_atom_site_occupancy
Co1 Co 0.0000 0.0000 0.0000 1
Ni1 Ni 0.5000 0.5000 0.5000 1
I1 I 0.0000 0.5000 0.0000 1
O1 O 0.0000 0.0000 0.5000 1
```

Values from the calculation:
**M_tot**: 3.35 Bohr magnetons per cell



*ii*
An optimized crystal structure of CoNiI2O, computed with GGA+U.

Structure (CIF):
```
data_CoNiI2O
_space_group_name_H-M_alt 'P 4/m m m'
_space_group_IT_number 123
_space_group_name_Hall '-P 4 2'
_cell_length_a 5.5028
_cell_length_b 5.5028
_cell_length_c 3.6270
_cell_angle_alpha 90.00
_cell_angle_beta 90.00
_cell_angle_gamma 90.00
loop_
_atom_site_label
_atom_site_type_symbol
_atom_site_fract_x
_atom_site_fract_y
_atom_site_fract_z
_atom_site_occupancy
Co1 Co 0.0000 0.0000 0.0000 1
Ni1 Ni 0.5000 0.5000 0.5000 1
I1 I 0.0000 0.5000 0.5000 1
O1 O 0.5000 0.5000 0.0000 1
```

Values from the calculation:
**M_tot**: 4.81 Bohr magnetons per cell



What is the least stable structure shown above? It is *i*.